VASP calculation (GGA-PBE) on a relaxed PuMgPb crystal.

abc: 5.1173 5.1173 5.1173
angles: 60.00 60.00 60.00
Each line ends with the local moment (μB).
Sites, in units of the cell vectors:
Mg (0.2500, 0.2500, 0.2500)  0.01
Pu (0.7500, 0.7500, 0.7500)  5.58
Pb (0.0000, 0.0000, 0.0000)  -0.04

Output
* DFT total energy: -19.34 eV per cell